Density functional theory data (PBE-GGA) for a relaxed Y2AlTcC crystal.

## Properties
* DFT formation energy: -0.353 eV per atom
* crystal system: tetragonal
* uncorrected energy: -38.026 eV/f.u.

```
data_Y2AlTcC
_cell_length_a 4.933
_cell_length_b 4.933
_cell_length_c 3.998
_cell_angle_alpha 90.00
_cell_angle_beta 90.00
_cell_angle_gamma 90.00
_space_group_name_H-M_alt 'P 4/m m m'
_space_group_IT_number 123
_space_group_name_Hall '-P 4 2'
loop_
_atom_site_label
_atom_site_fract_x
_atom_site_fract_y
_atom_site_fract_z
Y1 0.000 0.500 0.000
Al1 0.000 0.000 0.500
Tc1 0.500 0.500 0.500
C1 0.500 0.500 0.000
```

Density functional theory data (PBE-GGA) for a relaxed TlFeCu2 crystal.

## Properties
* DFT formation energy: 0.428 eV per atom
* crystal system: monoclinic
* uncorrected energy: -17.311 eV/f.u.

```
data_TlFeCu2
_cell_length_a 2.837
_cell_length_b 4.278
_cell_length_c 5.175
_cell_angle_alpha 90.00
_cell_angle_beta 97.96
_cell_angle_gamma 90.00
_space_group_name_H-M_alt 'P 1 2/m 1'
_space_group_IT_number 10
loop_
_space_group_symop_operation_xyz
'x,y,z'
'-x,-y,-z'
'-x,y,-z'
'x,-y,z'
loop_
_atom_site_label
_atom_site_fract_x
_atom_site_fract_y
_atom_site_fract_z
Tl1 0.000 0.000 0.000
Fe1 0.500 0.000 0.500
Cu1 0.262 0.500 0.708
```

Density functional theory data (PBE-GGA) for a relaxed TaAs2Os crystal.

## Properties
* DFT formation energy: 0.456 eV per atom
* crystal system: orthorhombic
* uncorrected energy: -30.556 eV/f.u.

```
data_TaAs2Os
_cell_length_a 3.167
_cell_length_b 5.140
_cell_length_c 8.188
_cell_angle_alpha 90.00
_cell_angle_beta 90.00
_cell_angle_gamma 90.00
_space_group_name_H-M_alt 'C m m m'
_space_group_IT_number 65
_space_group_name_Hall '-C 2 2'
loop_
_atom_site_label
_atom_site_fract_x
_atom_site_fract_y
_atom_site_fract_z
Ta1 0.000 0.000 0.000
As1 0.000 0.500 0.260
Os1 0.000 0.000 0.500
```

Density functional theory data (PBE-GGA) for a relaxed LaAl2Se crystal.

## Properties
* crystal system: tetragonal
* formation energy (no corrections): -502 meV/atom
* uncorrected energy: -17.906 eV/f.u.

```
data_LaAl2Se
_cell_length_a 4.553
_cell_length_b 4.553
_cell_length_c 8.876
_cell_angle_alpha 90.00
_cell_angle_beta 90.00
_cell_angle_gamma 90.00
_space_group_name_H-M_alt 'I -4 m 2'
_space_group_IT_number 119
_space_group_name_Hall 'I -4 -2'
loop_
_atom_site_label
_atom_site_fract_x
_atom_site_fract_y
_atom_site_fract_z
La1 0.000 0.000 0.000
Al1 0.000 0.000 0.500
Al2 0.000 0.500 0.250
Se1 0.000 0.500 0.750
```

Density functional theory data (PBE-GGA) for a relaxed Ac3Tm2Pb4 crystal.

## Properties
* DFT formation energy: -0.420 eV per atom
* crystal system: monoclinic
* uncorrected energy: -39.886 eV/f.u.

```
data_Ac3Tm2Pb4
_cell_length_a 12.545
_cell_length_b 4.926
_cell_length_c 10.392
_cell_angle_alpha 90.00
_cell_angle_beta 96.39
_cell_angle_gamma 90.00
_space_group_name_H-M_alt 'C 1 2/m 1'
_space_group_IT_number 12
loop_
_space_group_symop_operation_xyz
'x,y,z'
'-x,-y,-z'
'-x,y,-z'
'x,-y,z'
'x+1/2,y+1/2,z'
'-x+1/2,-y+1/2,-z'
'-x+1/2,y+1/2,-z'
'x+1/2,-y+1/2,z'
loop_
_atom_site_label
_atom_site_fract_x
_atom_site_fract_y
_atom_site_fract_z
Ac1 0.000 0.000 0.000
Ac2 0.129 0.500 0.399
Tm1 0.182 0.500 0.787
Pb1 0.080 0.000 0.638
Pb2 0.181 0.500 0.090
```

Density functional theory data (PBE-GGA) for a relaxed Sm8Y2Sc crystal.

## Properties
* DFT formation energy: 0.186 eV per atom
* crystal system: monoclinic
* uncorrected energy: -54.969 eV/f.u.

```
data_Sm8Y2Sc
_cell_length_a 18.918
_cell_length_b 6.966
_cell_length_c 5.713
_cell_angle_alpha 90.00
_cell_angle_beta 92.95
_cell_angle_gamma 90.00
_space_group_name_H-M_alt 'C 1 2/m 1'
_space_group_IT_number 12
loop_
_space_group_symop_operation_xyz
'x,y,z'
'-x,-y,-z'
'-x,y,-z'
'x,-y,z'
'x+1/2,y+1/2,z'
'-x+1/2,-y+1/2,-z'
'-x+1/2,y+1/2,-z'
'x+1/2,-y+1/2,z'
loop_
_atom_site_label
_atom_site_fract_x
_atom_site_fract_y
_atom_site_fract_z
Sm1 0.045 0.000 0.232
Sm2 0.128 0.237 0.737
Sm3 0.183 0.500 0.228
Y1 0.217 0.000 0.261
Sc1 0.000 0.500 0.000
```